This record from the Alexandria database describes a crystal of Na2MgTlPd relaxed with PBEsol. The functional is SCAN.

abc: 4.995 5.329 5.329
angles: 90.00 90.00 90.00
Sites, in units of the cell vectors:
Na1 0.000 0.000 0.500
Na2 0.000 0.500 0.000
Tl1 0.500 0.500 0.500
Mg1 0.500 0.000 0.000
Pd1 0.000 0.000 0.000

The raw total energy comes out at -23.69 eV/atom. The calculation puts the density of states at the Fermi level at 2.127 states/eV per cell. The calculation puts the energy relative to the elements at 0.0181 eV/atom. Its total magnetization is 0.0 Bohr magnetons per cell. As for the volume: 141.84 Å³/cell. Its symmetry is No. 123.